VASP calculation (GGA+U) on a relaxed ReNiNO2 crystal.

Summary:
Calculated volume (Å³/atom): 11.5
Crystal system: tetragonal
Magnetic moment (μB per atom): 0.180
Space-group type: P4/mmm (123)
Energy (eV/f.u.): -34.79

CIF file:
```
data_ReNiNO2
_chemical_formula_sum 'Re1 Ni1 N1 O2'
_cell_length_a 3.8458
_cell_length_b 3.8458
_cell_length_c 3.8985
_cell_angle_alpha 90.00
_cell_angle_beta 90.00
_cell_angle_gamma 90.00
_space_group_name_H-M_alt 'P 1'
_space_group_IT_number 1
loop_
_space_group_symop_operation_xyz
'x,y,z'
loop_
_atom_site_label
_atom_site_type_symbol
_atom_site_fract_x
_atom_site_fract_y
_atom_site_fract_z
_atom_site_occupancy
Re1 Re 0.0000 0.0000 0.0000 1
N1 N 0.0000 0.0000 0.5000 1
O1 O 0.0000 0.5000 0.0000 1
O2 O 0.5000 0.0000 0.0000 1
Ni1 Ni 0.5000 0.5000 0.5000 1
```